## Li2Ac3WO8 (PBE with a Hubbard U)

Data for Li2Ac3WO8 after structural relaxation.

Results
total magnetization	1.00	μB per formula unit
Fermi-level density of states	0.29	states/eV/atom
SG	No. 164
electronic total energy	-99.5	eV per cell

Unit cell a=5.662 b=5.662 c=7.230 alpha=90.00 beta=90.00 gamma=120.00
Sites, in units of the cell vectors:
Li: 0.333 0.667 0.204
Li: 0.667 0.333 0.796
Ac: 0.000 0.000 0.000
Ac: 0.333 0.667 0.653
Ac: 0.667 0.333 0.347
W: 0.000 0.000 0.500
O: 0.161 0.321 0.330
O: 0.161 0.839 0.330
O: 0.321 0.161 0.670
O: 0.333 0.667 0.954
O: 0.667 0.333 0.046
O: 0.679 0.839 0.330
O: 0.839 0.161 0.670
O: 0.839 0.679 0.670